[1]
DFT (GGA-PBE) results for a relaxed RbYO3 crystal.

a = 4.464 Å, b = 4.464 Å, c = 4.464 Å
α = 90.00°, β = 90.00°, γ = 90.00°
Positions (direct):
Rb: 0.000 0.000 0.000
Y: 0.500 0.500 0.500
O: 0.000 0.500 0.500
O: 0.500 0.000 0.500
O: 0.500 0.500 0.000

Summary:
Formation energy (no corrections), eV/atom: -1.84



[2]
DFT (GGA-PBE) results for a relaxed RbY2O2 crystal.

a = 4.030 Å, b = 4.030 Å, c = 19.511 Å
α = 90.00°, β = 90.00°, γ = 90.00°
Positions (direct):
Rb: 0.000 0.000 0.000
Rb: 0.500 0.500 0.500
Y: 0.000 0.000 0.302
Y: 0.000 0.000 0.698
Y: 0.500 0.500 0.198
Y: 0.500 0.500 0.802
O: 0.000 0.500 0.250
O: 0.000 0.500 0.750
O: 0.500 0.000 0.250
O: 0.500 0.000 0.750

Summary:
Formation energy (no corrections), eV/atom: -2.18



[3]
DFT (GGA-PBE) results for a relaxed Rb3YO crystal.

a = 5.924 Å, b = 5.924 Å, c = 5.924 Å
α = 90.00°, β = 90.00°, γ = 90.00°
Positions (direct):
Rb: 0.000 0.000 0.500
Rb: 0.000 0.500 0.000
Rb: 0.500 0.000 0.000
Y: 0.500 0.500 0.500
O: 0.000 0.000 0.000

Summary:
Formation energy (no corrections), eV/atom: 0.08



[4]
DFT (GGA-PBE) results for a relaxed Rb3YO3 crystal.

a = 7.372 Å, b = 7.372 Å, c = 7.351 Å
α = 94.63°, β = 94.63°, γ = 116.99°
Positions (direct):
Rb: 0.210 0.790 0.000
Rb: 0.260 0.740 0.500
Rb: 0.359 0.359 0.141
Rb: 0.641 0.641 0.859
Rb: 0.740 0.260 0.500
Rb: 0.790 0.210 0.000
Y: 0.178 0.178 0.650
Y: 0.822 0.822 0.350
O: 0.106 0.106 0.347
O: 0.169 0.448 0.768
O: 0.448 0.169 0.768
O: 0.552 0.831 0.232
O: 0.831 0.552 0.232
O: 0.894 0.894 0.653

Summary:
Formation energy (no corrections), eV/atom: -1.90